# 1
{
  "formula": "FeBr4",
  "functional": "PBE",
  "state": "optimized geometry",
  "m_tot_mub_per_fu": 3.81,
  "formation_energy_uncorrected_ev_per_atom": 0.051,
  "lattice_angstrom": [[4.7870, 4.7938, 3.3205], [-5.4917, -5.1528, -0.4599], [5.3745, -5.2228, -0.8713]],
  "species": ["Br", "Br", "Br", "Br", "Fe"],
  "fractional_positions": [[0.5446, 0.7182, 0.2629], [0.4554, 0.2818, 0.7371], [0.7182, 0.4554, 0.1736], [0.2818, 0.5446, 0.8264], [0.0000, 0.0000, 0.0000]]
}

# 2
{
  "formula": "BSe2F2",
  "functional": "PBE",
  "state": "optimized geometry",
  "m_tot_mub_per_fu": 0.00,
  "formation_energy_uncorrected_ev_per_atom": -0.062,
  "lattice_angstrom": [[6.0807, 0.0000, 0.0000], [0.0000, 6.0807, 0.0000], [0.0000, 0.0000, 4.3091]],
  "species": ["F", "F", "F", "F", "Se", "Se", "Se", "Se", "B", "B"],
  "fractional_positions": [[0.6978, 0.1978, 0.5000], [0.8022, 0.6978, 0.5000], [0.3022, 0.8022, 0.5000], [0.1978, 0.3022, 0.5000], [0.3137, 0.8137, 0.0000], [0.8137, 0.6863, 0.0000], [0.6863, 0.1863, 0.0000], [0.1863, 0.3137, 0.0000], [0.0000, 0.0000, 0.0000], [0.5000, 0.5000, 0.0000]]
}

# 3
{
  "formula": "Mg2Nb2V",
  "functional": "PBE",
  "state": "optimized geometry",
  "formation_enthalpy_0k_ev_per_atom": 0.7425,
  "m_tot_mub_per_fu": 1.85,
  "lattice_angstrom": [[7.5580, 0.0000, 0.0000], [0.0000, 7.5580, 0.0000], [0.0000, 0.0000, 3.2319]],
  "species": ["Mg", "Mg", "Mg", "Mg", "V", "V", "Nb", "Nb", "Nb", "Nb"],
  "fractional_positions": [[0.3714, 0.8714, 0.0000], [0.1286, 0.3714, 0.0000], [0.8714, 0.6286, 0.0000], [0.6286, 0.1286, 0.0000], [0.5000, 0.5000, 0.0000], [0.0000, 0.0000, 0.0000], [0.3286, 0.1714, 0.5000], [0.8286, 0.3286, 0.5000], [0.6714, 0.8286, 0.5000], [0.1714, 0.6714, 0.5000]]
}

# 4
{
  "formula": "MnCuNi4",
  "functional": "PBE",
  "state": "optimized geometry",
  "formation_enthalpy_0k_ev_per_atom": -0.0324,
  "m_tot_mub_per_fu": 5.53,
  "lattice_angstrom": [[4.3187, 0.0000, -0.2485], [0.0000, 5.1026, 0.0000], [0.1836, 0.0000, 6.1876]],
  "species": ["Ni", "Ni", "Ni", "Ni", "Ni", "Ni", "Ni", "Ni", "Cu", "Cu", "Mn", "Mn"],
  "fractional_positions": [[0.6692, 0.4984, 0.3281], [0.3308, 0.9984, 0.6719], [0.3308, 0.5016, 0.6719], [0.5005, 0.2500, 0.0021], [0.4995, 0.7500, 0.9979], [0.6692, 0.0016, 0.3281], [0.0000, 0.5000, 0.0000], [0.0000, 0.0000, 0.0000], [0.1724, 0.2500, 0.3350], [0.8276, 0.7500, 0.6650], [0.1725, 0.7500, 0.3338], [0.8275, 0.2500, 0.6662]]
}